# 1
A plane-wave DFT calculation with PBE was carried out for an optimized crystal structure of TaSi2Sn.

Cell: 6.031 6.031 7.241 Å, 65.39 65.39 90.00°
Fractional coordinates of all 8 atoms:
Si (0.645, 0.125, 0.250)
Si (0.105, 0.625, 0.250)
Si (0.375, 0.355, 0.750)
Si (0.875, 0.895, 0.750)
Sn (0.500, 0.500, 0.000)
Sn (0.250, 0.750, 0.500)
Ta (0.000, 0.000, 0.000)
Ta (0.750, 0.250, 0.500)

Calculated values
Raw total energy: -5.9977 eV/atom
Polymorph energy (0 for the lowest one): 12.07 kJ/mol of atoms
Raw formation energy: 0.678 eV per atom

***

# 2
A plane-wave DFT calculation with PBE was carried out for an optimized crystal structure of ZnIn6Hg7.

Cell: 6.001 11.497 11.497 Å, 79.97 74.87 74.87°
Fractional coordinates of all 28 atoms:
Zn (0.750, 0.250, 0.250)
Zn (0.250, 0.750, 0.750)
In (0.538, 0.352, 0.997)
In (0.113, 0.997, 0.352)
In (0.962, 0.503, 0.148)
In (0.387, 0.148, 0.503)
In (0.462, 0.648, 0.003)
In (0.887, 0.003, 0.648)
In (0.038, 0.497, 0.852)
In (0.613, 0.852, 0.497)
In (0.063, 0.719, 0.281)
In (0.937, 0.281, 0.719)
In (0.437, 0.219, 0.781)
In (0.563, 0.781, 0.219)
Hg (0.742, 0.048, 0.952)
Hg (0.258, 0.952, 0.048)
Hg (0.758, 0.548, 0.452)
Hg (0.242, 0.452, 0.548)
Hg (0.444, 0.481, 0.270)
Hg (0.805, 0.270, 0.481)
Hg (0.056, 0.230, 0.019)
Hg (0.695, 0.019, 0.230)
Hg (0.556, 0.519, 0.730)
Hg (0.195, 0.730, 0.519)
Hg (0.944, 0.770, 0.981)
Hg (0.305, 0.981, 0.770)
Hg (0.250, 0.250, 0.250)
Hg (0.750, 0.750, 0.750)

Calculated values
Raw total energy: -1.3765 eV/atom

***

# 3
A plane-wave DFT calculation with PBE was carried out for an optimized crystal structure of Th3MgSc4.

Cell: 3.249 8.368 8.368 Å, 97.68 90.00 90.00°
Fractional coordinates of all 8 atoms:
Th (0.000, 0.000, 0.500)
Th (0.500, 0.500, 0.500)
Th (0.000, 0.500, 0.000)
Mg (0.500, 0.000, 0.000)
Sc (0.000, 0.765, 0.765)
Sc (0.500, 0.231, 0.769)
Sc (0.000, 0.235, 0.235)
Sc (0.500, 0.769, 0.231)

Calculated values
Raw total energy: -5.7619 eV/atom

***

# 4
A plane-wave DFT calculation with PBE was carried out for an optimized crystal structure of TbSmThMg.

Cell: 3.610 3.610 9.278 Å, 90.00 90.00 90.00°
Fractional coordinates of all 4 atoms:
Tb (0.000, 0.000, 0.561)
Sm (0.000, 0.000, 0.080)
Th (0.500, 0.500, 0.818)
Mg (0.500, 0.500, 0.325)

Calculated values
Raw total energy: -4.6392 eV/atom
Polymorph energy (0 for the lowest one): 0.00 kJ/mol of atoms

***

# 5
A plane-wave DFT calculation with PBE was carried out for an optimized crystal structure of Pr2HoU2Ru5.

Cell: 3.528 10.917 10.917 Å, 90.00 90.00 90.00°
Fractional coordinates of all 20 atoms:
Pr (0.000, 0.675, 0.175)
Pr (0.000, 0.325, 0.825)
Pr (0.000, 0.175, 0.325)
Pr (0.000, 0.825, 0.675)
Ho (0.000, 0.000, 0.000)
Ho (0.000, 0.500, 0.500)
U (0.000, 0.136, 0.636)
U (0.000, 0.864, 0.364)
U (0.000, 0.636, 0.864)
U (0.000, 0.364, 0.136)
Ru (0.500, 0.216, 0.049)
Ru (0.500, 0.784, 0.951)
Ru (0.500, 0.049, 0.784)
Ru (0.500, 0.716, 0.451)
Ru (0.500, 0.951, 0.216)
Ru (0.500, 0.284, 0.549)
Ru (0.500, 0.549, 0.716)
Ru (0.500, 0.451, 0.284)
Ru (0.500, 0.500, 0.000)
Ru (0.500, 0.000, 0.500)

Calculated values
Raw total energy: -8.5218 eV/atom

***

# 6
A plane-wave DFT calculation with PBE was carried out for an optimized crystal structure of In12BiPb6.

Cell: 8.424 8.424 8.424 Å, 84.45 84.45 84.45°
Fractional coordinates of all 19 atoms:
In (0.517, 0.172, 0.618)
In (0.172, 0.618, 0.517)
In (0.618, 0.517, 0.172)
In (0.483, 0.828, 0.382)
In (0.828, 0.382, 0.483)
In (0.382, 0.483, 0.828)
In (0.858, 0.947, 0.626)
In (0.374, 0.142, 0.053)
In (0.053, 0.374, 0.142)
In (0.142, 0.053, 0.374)
In (0.626, 0.858, 0.947)
In (0.947, 0.626, 0.858)
Bi (0.000, 0.000, 0.000)
Pb (0.129, 0.261, 0.697)
Pb (0.739, 0.303, 0.871)
Pb (0.303, 0.871, 0.739)
Pb (0.871, 0.739, 0.303)
Pb (0.261, 0.697, 0.129)
Pb (0.697, 0.129, 0.261)

Calculated values
Raw total energy: -3.0207 eV/atom

***

# 7
A plane-wave DFT calculation with PBE was carried out for an optimized crystal structure of NiTe2RhN.

Cell: 5.395 5.395 3.592 Å, 90.00 90.00 90.00°
Fractional coordinates of all 5 atoms:
Ni (0.500, 0.500, 0.500)
Te (0.000, 0.500, 0.000)
Te (0.500, 0.000, 0.000)
Rh (0.000, 0.000, 0.000)
N (0.000, 0.000, 0.500)

Calculated values
Raw total energy: -4.9020 eV/atom
Polymorph energy (0 for the lowest one): 16.42 kJ/mol of atoms
Raw formation energy: 0.646 eV per atom

***

# 8
A plane-wave DFT calculation with PBE was carried out for an optimized crystal structure of SrTm2MgAu4.

Cell: 4.951 4.951 9.303 Å, 74.57 74.57 60.00°
Fractional coordinates of all 8 atoms:
Sr (0.000, 0.000, 0.000)
Tm (0.763, 0.763, 0.710)
Tm (0.237, 0.237, 0.290)
Mg (0.500, 0.500, 0.500)
Au (0.397, 0.397, 0.810)
Au (0.874, 0.874, 0.377)
Au (0.126, 0.126, 0.623)
Au (0.603, 0.603, 0.190)

Calculated values
Raw total energy: -3.9127 eV/atom

***

# 9
A plane-wave DFT calculation with PBE was carried out for an optimized crystal structure of SrOsSe2.

Cell: 3.352 4.901 4.901 Å, 90.00 90.00 90.00°
Fractional coordinates of all 4 atoms:
Os (0.500, 0.000, 0.500)
Se (0.000, 0.000, 0.000)
Se (0.000, 0.500, 0.500)
Sr (0.500, 0.500, 0.000)

Calculated values
Raw total energy: -5.0028 eV/atom
Polymorph energy (0 for the lowest one): 60.17 kJ/mol of atoms
Raw formation energy: -0.033 eV per atom

***

# 10
A plane-wave DFT calculation with PBE was carried out for an optimized crystal structure of SrPrEr4Se8.

Cell: 8.480 8.480 8.595 Å, 60.44 60.44 60.00°
Fractional coordinates of all 14 atoms:
Sr (0.372, 0.372, 0.883)
Pr (0.002, 0.002, 0.994)
Er (0.626, 0.626, 0.122)
Er (0.002, 0.495, 0.502)
Er (0.495, 0.002, 0.502)
Er (0.002, 0.002, 0.502)
Se (0.245, 0.788, 0.723)
Se (0.788, 0.245, 0.723)
Se (0.245, 0.245, 0.723)
Se (0.235, 0.235, 0.295)
Se (0.750, 0.232, 0.268)
Se (0.232, 0.750, 0.268)
Se (0.750, 0.750, 0.268)
Se (0.758, 0.758, 0.726)

Calculated values
Raw total energy: -5.5331 eV/atom
Raw formation energy: -1.777 eV per atom

***

# 11
A plane-wave DFT calculation with PBE was carried out for an optimized crystal structure of LaGa2BiPt.

Cell: 5.693 5.173 5.693 Å, 90.00 90.00 90.00°
Fractional coordinates of all 5 atoms:
Ga (0.000, 0.000, 0.500)
Ga (0.500, 0.000, 0.000)
Bi (0.500, 0.500, 0.500)
Pt (0.000, 0.500, 0.000)
La (0.000, 0.000, 0.000)

Calculated values
Raw total energy: -3.5835 eV/atom
Polymorph energy (0 for the lowest one): 119.16 kJ/mol of atoms

***

# 12
A plane-wave DFT calculation with PBE was carried out for an optimized crystal structure of Li2Cu5Si.

Cell: 3.892 4.976 9.956 Å, 90.00 90.00 90.00°
Fractional coordinates of all 16 atoms:
Li (0.500, 0.301, 0.367)
Li (0.500, 0.699, 0.633)
Li (0.500, 0.199, 0.867)
Li (0.500, 0.801, 0.133)
Cu (0.500, 0.301, 0.114)
Cu (0.500, 0.699, 0.886)
Cu (0.500, 0.801, 0.386)
Cu (0.500, 0.199, 0.614)
Cu (0.000, 0.934, 0.745)
Cu (0.000, 0.066, 0.255)
Cu (0.000, 0.434, 0.755)
Cu (0.000, 0.566, 0.245)
Cu (0.000, 0.500, 0.500)
Cu (0.000, 0.000, 0.000)
Si (0.000, 0.000, 0.500)
Si (0.000, 0.500, 0.000)

Calculated values
Raw total energy: -3.8208 eV/atom
Raw formation energy: -0.104 eV per atom

***

# 13
A plane-wave DFT calculation with PBE was carried out for an optimized crystal structure of ScNbGe2H.

Cell: 4.963 5.183 4.963 Å, 90.00 90.00 90.00°
Fractional coordinates of all 5 atoms:
Sc (0.000, 0.500, 0.000)
H (0.500, 0.500, 0.500)
Nb (0.000, 0.000, 0.000)
Ge (0.000, 0.000, 0.500)
Ge (0.500, 0.000, 0.000)

Calculated values
Raw total energy: -4.9809 eV/atom

***

# 14
A plane-wave DFT calculation with PBE was carried out for an optimized crystal structure of La2CeSi2S8I.

Cell: 8.985 8.985 10.985 Å, 83.52 83.52 52.82°
Site moments in Bohr magnetons follow the coordinates.
Fractional coordinates of all 28 atoms:
La (0.924, 0.679, 0.682)  0.00
La (0.321, 0.076, 0.818)  0.00
La (0.076, 0.321, 0.318)  0.00
La (0.679, 0.924, 0.182)  0.00
Ce (0.591, 0.409, 0.750)  0.98
Ce (0.409, 0.591, 0.250)  0.98
Si (0.304, 0.376, 0.032)  0.00
Si (0.624, 0.696, 0.468)  0.00
Si (0.696, 0.624, 0.968)  0.00
Si (0.376, 0.304, 0.532)  0.00
S (0.114, 0.596, 0.150)  0.00
S (0.404, 0.886, 0.350)  0.00
S (0.886, 0.404, 0.850)  0.00
S (0.596, 0.114, 0.650)  0.00
S (0.583, 0.281, 0.049)  -0.01
S (0.719, 0.417, 0.451)  -0.01
S (0.417, 0.719, 0.951)  -0.01
S (0.281, 0.583, 0.549)  -0.01
S (0.252, 0.450, 0.843)  0.00
S (0.550, 0.748, 0.657)  0.00
S (0.748, 0.550, 0.157)  0.00
S (0.450, 0.252, 0.343)  0.00
S (0.287, 0.150, 0.085)  0.00
S (0.850, 0.713, 0.415)  0.00
S (0.713, 0.850, 0.915)  0.00
S (0.150, 0.287, 0.585)  0.00
I (0.991, 0.009, 0.250)  0.00
I (0.009, 0.991, 0.750)  0.00

Calculated values
Raw total energy: -5.8672 eV/atom
Raw formation energy: -1.495 eV per atom

***

# 15
A plane-wave DFT calculation with PBE was carried out for an optimized crystal structure of SmMgBe2Pd5.

Cell: 4.390 4.390 7.314 Å, 90.00 90.00 90.00°
Fractional coordinates of all 9 atoms:
Sm (0.000, 0.000, 0.500)
Mg (0.000, 0.000, 0.000)
Be (0.500, 0.500, 0.158)
Be (0.500, 0.500, 0.842)
Pd (0.000, 0.500, 0.222)
Pd (0.500, 0.000, 0.222)
Pd (0.000, 0.500, 0.778)
Pd (0.500, 0.000, 0.778)
Pd (0.500, 0.500, 0.500)

Calculated values
Raw total energy: -5.0085 eV/atom

***

# 16
A plane-wave DFT calculation with PBE was carried out for an optimized crystal structure of Rb3Pu2MgSe6.

Cell: 7.333 7.333 8.309 Å, 98.45 98.45 119.99°
Site moments in Bohr magnetons follow the coordinates.
Fractional coordinates of all 12 atoms:
Rb (0.166, 0.834, 0.500)  0.00
Rb (0.834, 0.166, 0.500)  0.00
Rb (0.500, 0.500, 0.500)  0.00
Pu (0.333, 0.667, 0.000)  4.90
Pu (0.667, 0.333, 0.000)  4.90
Mg (0.000, 0.000, 0.000)  0.00
Se (0.936, 0.605, 0.809)  -0.11
Se (0.732, 0.732, 0.191)  -0.11
Se (0.064, 0.395, 0.191)  -0.11
Se (0.605, 0.936, 0.809)  -0.11
Se (0.268, 0.268, 0.809)  -0.11
Se (0.395, 0.064, 0.191)  -0.11

Calculated values
Raw total energy: -5.8356 eV/atom
Raw formation energy: -1.330 eV per atom

***

# 17
A plane-wave DFT calculation with PBE was carried out for an optimized crystal structure of NdY5Sc4.

Cell: 6.203 7.644 7.644 Å, 80.53 66.07 66.07°
Fractional coordinates of all 10 atoms:
Nd (0.223, 0.000, 0.000)
Y (0.803, 0.394, 0.901)
Y (0.197, 0.901, 0.606)
Y (0.704, 0.099, 0.394)
Y (0.098, 0.606, 0.099)
Y (0.676, 0.000, 0.000)
Sc (0.394, 0.419, 0.697)
Sc (0.813, 0.697, 0.581)
Sc (0.092, 0.303, 0.419)
Sc (0.510, 0.581, 0.303)

Calculated values
Raw total energy: -5.9056 eV/atom

***

# 18
A plane-wave DFT calculation with PBE was carried out for an optimized crystal structure of Na2Ho2Br7.

Cell: 7.040 7.519 7.519 Å, 70.75 87.68 87.68°
Site moments in Bohr magnetons follow the coordinates.
Fractional coordinates of all 11 atoms:
Na (0.500, 0.742, 0.258)  0.01
Na (0.500, 0.258, 0.742)  0.01
Ho (0.934, 0.769, 0.769)  0.14
Ho (0.066, 0.231, 0.231)  0.14
Br (0.239, 0.909, 0.495)  0.00
Br (0.761, 0.505, 0.091)  0.00
Br (0.761, 0.091, 0.505)  0.00
Br (0.239, 0.495, 0.909)  0.00
Br (0.000, 0.000, 0.000)  0.01
Br (0.751, 0.579, 0.579)  0.00
Br (0.249, 0.421, 0.421)  0.00

Calculated values
Raw total energy: -3.6879 eV/atom
Raw formation energy: -1.551 eV per atom

***

# 19
A plane-wave DFT calculation with PBE was carried out for an optimized crystal structure of Ti2Si2Cl.

Cell: 3.446 3.446 7.305 Å, 76.36 76.36 90.00°
Fractional coordinates of all 5 atoms:
Si (0.750, 0.250, 0.500)
Si (0.250, 0.750, 0.500)
Cl (0.000, 0.000, 0.000)
Ti (0.390, 0.390, 0.219)
Ti (0.610, 0.610, 0.781)

Calculated values
Raw total energy: -6.0337 eV/atom
Polymorph energy (0 for the lowest one): 15.70 kJ/mol of atoms
Raw formation energy: -0.337 eV per atom

***

# 20
A plane-wave DFT calculation with PBE was carried out for an optimized crystal structure of LaSc2Fe.

Cell: 6.147 6.147 5.182 Å, 65.09 65.09 31.46°
Fractional coordinates of all 4 atoms:
Fe (0.250, 0.250, 0.250)
La (0.750, 0.750, 0.750)
Sc (0.942, 0.942, 0.058)
Sc (0.558, 0.558, 0.442)

Calculated values
Raw total energy: -6.4321 eV/atom
Polymorph energy (0 for the lowest one): 11.28 kJ/mol of atoms